[1]
DFT (PBE-GGA) results for an optimized crystal structure of CsZrCoSe3.

Calculated values
* total magnetic moment: 0.274 μB/atom
* DFT total energy: -5.56 eV per atom
* formation energy (no corrections): -1066 meV per atom

Cell: 9.635 3.845 10.130 Å, 90.00 117.27 90.00°
Element x y z (fractional)
Cs  0.228  0.250  0.248
Cs  0.772  0.750  0.752
Zr  0.310  0.750  0.834
Zr  0.690  0.250  0.166
Co  0.084  0.250  0.595
Co  0.916  0.750  0.405
Se  0.123  0.250  0.851
Se  0.196  0.750  0.537
Se  0.476  0.750  0.145
Se  0.524  0.250  0.855
Se  0.804  0.250  0.463
Se  0.877  0.750  0.149

[2]
DFT (PBE-GGA) results for an optimized crystal structure of Sc4CdTc.

Calculated values
* formation energy from the elements: 244 kJ/mol of formula units
* total magnetic moment: 0.000 μB/atom
* relative energy among the computed polymorphs: 581.5 meV per atom
* DFT total energy: -5.68 eV per atom

Cell: 5.602 5.602 5.602 Å, 60.00 60.00 60.00°
Element x y z (fractional)
Sc  0.123  0.123  0.123
Sc  0.123  0.123  0.631
Sc  0.123  0.631  0.123
Sc  0.631  0.123  0.123
Cd  0.500  0.500  0.500
Tc  0.750  0.750  0.750

[3]
DFT (PBE-GGA) results for an optimized crystal structure of LaUB.

Calculated values
* formation energy from the elements: 58 kJ/mol of formula units
* total magnetic moment: 0.000 μB/atom
* DFT total energy: -7.43 eV per atom

Cell: 10.496 10.496 3.708 Å, 90.00 90.00 160.58°
Element x y z (fractional)
La  0.174  0.826  0.750
La  0.826  0.174  0.250
U  0.458  0.542  0.250
U  0.542  0.458  0.750
B  0.061  0.939  0.250
B  0.939  0.061  0.750

[4]
DFT (PBE-GGA) results for an optimized crystal structure of Ac2In12Ag7.

Calculated values
* formation energy from the elements: -329 kJ/mol of formula units
* total magnetic moment: 0.000 μB/atom
* DFT total energy: -3.07 eV per atom

Cell: 11.406 11.406 4.589 Å, 90.00 90.00 120.00°
Element x y z (fractional)
Ac  0.000  0.000  0.000
Ac  0.333  0.667  0.500
In  0.049  0.759  0.500
In  0.109  0.382  0.000
In  0.241  0.290  0.500
In  0.273  0.891  0.000
In  0.381  0.205  0.000
In  0.537  0.115  0.500
In  0.578  0.463  0.500
In  0.618  0.727  0.000
In  0.710  0.951  0.500
In  0.795  0.175  0.000
In  0.825  0.619  0.000
In  0.885  0.422  0.500
Ag  0.076  0.609  0.000
Ag  0.243  0.037  0.500
Ag  0.391  0.467  0.000
Ag  0.533  0.924  0.000
Ag  0.667  0.333  0.000
Ag  0.794  0.757  0.500
Ag  0.963  0.206  0.500

[5]
DFT (PBE-GGA) results for an optimized crystal structure of Dy2AlGa2Ni5.

Calculated values
* formation energy from the elements: -392 kJ/mol of formula units
* total magnetic moment: 0.000 μB/atom
* DFT total energy: -5.20 eV per atom

Cell: 9.724 9.724 3.253 Å, 90.00 90.00 90.00°
Element x y z (fractional)
Dy  0.175  0.325  0.000
Dy  0.325  0.825  0.000
Dy  0.675  0.175  0.000
Dy  0.825  0.675  0.000
Al  0.000  0.000  0.000
Al  0.500  0.500  0.000
Ga  0.125  0.625  0.000
Ga  0.375  0.125  0.000
Ga  0.625  0.875  0.000
Ga  0.875  0.375  0.000
Ni  0.000  0.500  0.500
Ni  0.051  0.802  0.500
Ni  0.198  0.051  0.500
Ni  0.302  0.551  0.500
Ni  0.449  0.302  0.500
Ni  0.500  0.000  0.500
Ni  0.551  0.698  0.500
Ni  0.698  0.449  0.500
Ni  0.802  0.949  0.500
Ni  0.949  0.198  0.500

[6]
DFT (PBE-GGA) results for an optimized crystal structure of PrGa2CoRh.

Calculated values
* formation energy from the elements: -280 kJ/mol of formula units
* total magnetic moment: 0.000 μB/atom
* DFT total energy: -5.64 eV per atom

Cell: 5.882 5.882 5.882 Å, 137.93 137.93 61.00°
Element x y z (fractional)
Pr  0.000  0.000  0.000
Ga  0.369  0.369  0.000
Ga  0.631  0.631  0.000
Co  0.750  0.250  0.500
Rh  0.250  0.750  0.500

[7]
DFT (PBE-GGA) results for an optimized crystal structure of YBiI2O.

Calculated values
* total magnetic moment: 0.000 μB/atom
* relative energy among the computed polymorphs: 0.0 meV per atom
* DFT total energy: -4.73 eV per atom
* formation energy (no corrections): -1050 meV per atom

Cell: 6.264 6.264 4.150 Å, 90.00 90.00 90.00°
Element x y z (fractional)
Y  0.000  0.000  0.000
Bi  0.500  0.500  0.500
I  0.000  0.500  0.000
I  0.500  0.000  0.000
O  0.000  0.000  0.500

[8]
DFT (PBE-GGA) results for an optimized crystal structure of LaTcHg2.

Calculated values
* formation energy from the elements: 173 kJ/mol of formula units
* total magnetic moment: 0.122 μB/atom
* relative energy among the computed polymorphs: 315.9 meV per atom
* DFT total energy: -3.53 eV per atom

Cell: 10.497 10.497 10.497 Å, 17.21 17.21 17.21°
Element x y z (fractional)
La  0.000  0.000  0.000
Tc  0.500  0.500  0.500
Hg  0.240  0.240  0.240
Hg  0.760  0.760  0.760

[9]
DFT (PBE-GGA) results for an optimized crystal structure of ScCd2Sb.

Calculated values
* total magnetic moment: 0.000 μB/atom
* DFT total energy: -3.25 eV per atom
* formation energy (no corrections): -182 meV per atom

Cell: 3.259 3.259 9.130 Å, 90.00 90.00 90.00°
Element x y z (fractional)
Sc  0.000  0.000  0.000
Cd  0.000  0.000  0.466
Cd  0.500  0.500  0.235
Sb  0.500  0.500  0.774

[10]
DFT (PBE-GGA) results for an optimized crystal structure of ZnBiPb3.

Calculated values
* formation energy from the elements: 356 kJ/mol of formula units
* total magnetic moment: 0.000 μB/atom
* relative energy among the computed polymorphs: 469.0 meV per atom
* DFT total energy: -2.52 eV per atom

Cell: 6.112 6.112 6.112 Å, 90.00 90.00 90.00°
Element x y z (fractional)
Zn  0.000  0.000  0.000
Bi  0.500  0.500  0.500
Pb  0.000  0.500  0.500
Pb  0.500  0.000  0.500
Pb  0.500  0.500  0.000

[11]
DFT (PBE-GGA) results for an optimized crystal structure of CrAsOs.

Calculated values
* formation energy from the elements: 157 kJ/mol of formula units
* total magnetic moment: 0.390 μB/atom
* relative energy among the computed polymorphs: 421.0 meV per atom
* DFT total energy: -7.96 eV per atom

Cell: 7.060 6.804 2.765 Å, 83.75 73.34 22.91°
Element x y z (fractional)
Cr  0.000  0.000  0.000
As  0.342  0.342  0.658
Os  0.648  0.648  0.352

[12]
DFT (PBE-GGA) results for an optimized crystal structure of Ac4TlInHg2.

Calculated values
* formation energy from the elements: -326 kJ/mol of formula units
* total magnetic moment: 0.154 μB/atom
* DFT total energy: -3.19 eV per atom

Cell: 10.025 10.025 10.025 Å, 33.54 33.54 33.54°
Element x y z (fractional)
Ac  0.125  0.125  0.125
Ac  0.375  0.375  0.375
Ac  0.625  0.625  0.625
Ac  0.875  0.875  0.875
Tl  0.500  0.500  0.500
In  0.000  0.000  0.000
Hg  0.250  0.250  0.250
Hg  0.750  0.750  0.750

Question: Look up the DFT total energy of the fifth one.
Answer: -5.20 eV per atom